Below is K2SrRuO6 after structural relaxation, with properties calculated at the GGA-PBE level.

The uncorrected formation energy is -1318 meV per atom. The space group is P-3m1 (164). As for the size of the total moment: 0.0 μB per formula unit.

abc: 6.2003 6.2117 6.2117
angles: 120.00 90.00 90.00
Last column: nearest neighbours and their distance in Å.
Fractional positions:
O 0.1812 0.2829 0.1414  1 Ru 1.89
Sr 0.5000 0.0000 0.0000  6 O 2.49
O 0.1812 0.8586 0.1414  1 Ru 1.89
O 0.8188 0.1414 0.8586  1 Ru 1.89
K 0.9036 0.6667 0.3333  3 O 2.69
K 0.0964 0.3333 0.6667  3 O 2.69
O 0.1812 0.8586 0.7171  1 Ru 1.89
O 0.8188 0.1414 0.2829  1 Ru 1.89
Ru 0.0000 0.0000 0.0000  6 O 1.89
O 0.8188 0.7171 0.8586  1 Ru 1.89